Record 1
NbIn: optimized geometry, PBE.

Cell and atoms, written as extended XYZ:
```
8
Lattice="5.634 0.000 0.000 0.000 5.634 0.000 0.000 0.000 5.634" Properties=species:S:1:pos:R:3 pbc="T T T"
Nb 0.000 0.000 0.000
Nb 0.000 2.817 2.817
Nb 2.817 0.000 2.817
Nb 2.817 2.817 0.000
In 0.000 0.000 2.817
In 0.000 2.817 0.000
In 2.817 0.000 0.000
In 2.817 2.817 2.817
```

Computed properties:
ΔH_f (0 K): 0.637 eV per atom
volume: 22.4 Å³/atom
total DFT energy (no corrections): -5.767 eV per atom


Record 2
NbIn: optimized geometry, PBE.

Cell and atoms, written as extended XYZ:
```
16
Lattice="8.683 0.000 0.000 0.000 8.683 0.000 0.000 0.000 5.187" Properties=species:S:1:pos:R:3 pbc="T T T"
Nb 0.440 3.207 0.000
Nb 1.135 4.782 2.593
Nb 3.207 8.243 0.000
Nb 3.902 1.135 2.593
Nb 4.782 7.548 2.593
Nb 5.476 0.440 0.000
Nb 7.548 3.902 2.593
Nb 8.243 5.476 0.000
In 1.079 1.795 2.593
In 1.795 7.604 2.593
In 2.547 5.420 0.000
In 3.263 2.547 0.000
In 5.420 6.136 0.000
In 6.136 3.263 0.000
In 6.888 1.079 2.593
In 7.604 6.888 2.593
```

Computed properties:
ΔH_f (0 K): 0.366 eV per atom
volume: 24.4 Å³/atom
total DFT energy (no corrections): -6.038 eV per atom


Record 3
NbIn: optimized geometry, PBE.

Cell and atoms, written as extended XYZ:
```
16
Lattice="8.749 0.000 0.000 0.000 8.749 0.000 0.000 0.000 8.749" Properties=species:S:1:pos:R:3 pbc="T T T"
Nb 0.937 0.937 0.937
Nb 0.937 7.811 7.811
Nb 3.437 3.437 5.312
Nb 3.437 5.312 3.437
Nb 5.312 3.437 3.437
Nb 5.312 5.312 5.312
Nb 7.811 0.937 7.811
Nb 7.811 7.811 0.937
In 1.790 1.790 6.959
In 1.790 6.959 1.790
In 2.585 2.585 2.585
In 2.585 6.164 6.164
In 6.164 2.585 6.164
In 6.164 6.164 2.585
In 6.959 1.790 1.790
In 6.959 6.959 6.959
```

Computed properties:
ΔH_f (0 K): 1.088 eV per atom
volume: 41.9 Å³/atom
total DFT energy (no corrections): -5.316 eV per atom


Record 4
Nb3In: optimized geometry, PBE.

Cell and atoms, written as extended XYZ:
```
8
Lattice="3.423 0.000 0.000 0.000 4.788 0.000 0.000 0.000 9.375" Properties=species:S:1:pos:R:3 pbc="T T T"
Nb 0.000 0.000 0.000
Nb 0.000 2.394 2.243
Nb 0.000 2.394 7.132
Nb 1.712 0.000 2.243
Nb 1.712 0.000 7.132
Nb 1.712 2.394 0.000
In 0.000 0.000 4.687
In 1.712 2.394 4.687
```

Computed properties:
ΔH_f (0 K): 0.034 eV per atom
volume: 19.2 Å³/atom
total DFT energy (no corrections): -8.203 eV per atom


Record 5
Nb3In: optimized geometry, PBE.

Cell and atoms, written as extended XYZ:
```
8
Lattice="5.333 0.000 0.000 0.000 5.333 0.000 0.000 0.000 5.333" Properties=species:S:1:pos:R:3 pbc="T T T"
Nb 0.000 1.333 2.667
Nb 0.000 4.000 2.667
Nb 1.333 2.667 0.000
Nb 2.667 0.000 1.333
Nb 2.667 0.000 4.000
Nb 4.000 2.667 0.000
In 0.000 0.000 0.000
In 2.667 2.667 2.667
```

Computed properties:
ΔH_f (0 K): 0.006 eV per atom
volume: 19.0 Å³/atom
total DFT energy (no corrections): -8.231 eV per atom


Record 6
NbIn: optimized geometry, PBE.

Cell and atoms, written as extended XYZ:
```
8
Lattice="6.304 0.000 0.000 0.000 6.304 0.000 0.000 0.000 6.304" Properties=species:S:1:pos:R:3 pbc="T T T"
Nb 0.000 0.000 0.000
Nb 0.000 3.152 3.152
Nb 3.152 0.000 3.152
Nb 3.152 3.152 0.000
In 1.576 1.576 4.728
In 1.576 4.728 1.576
In 4.728 1.576 1.576
In 4.728 4.728 4.728
```

Computed properties:
ΔH_f (0 K): 1.812 eV per atom
volume: 31.3 Å³/atom
total DFT energy (no corrections): -4.592 eV per atom


Record 7
NbIn: optimized geometry, PBE.

Cell and atoms, written as extended XYZ:
```
12
Lattice="7.802 0.000 0.000 -3.901 6.757 0.000 0.000 0.000 5.105" Properties=species:S:1:pos:R:3 pbc="T T T"
Nb -1.533 4.174 1.276
Nb 1.053 3.343 1.276
Nb 3.421 0.759 3.829
Nb 0.480 5.997 1.276
Nb 2.848 3.414 3.829
Nb 5.434 2.583 3.829
In -2.502 5.431 3.829
In 0.448 1.874 3.829
In 1.848 0.549 1.276
In 2.053 6.208 3.829
In 3.453 4.882 1.276
In 6.403 1.326 1.276
```

Computed properties:
ΔH_f (0 K): 0.459 eV per atom
volume: 22.4 Å³/atom
total DFT energy (no corrections): -5.945 eV per atom


Record 8
Nb8In: optimized geometry, PBE.

Cell and atoms, written as extended XYZ:
```
9
Lattice="-4.977 4.977 1.695 4.977 -4.977 1.695 4.977 4.977 -1.695" Properties=species:S:1:pos:R:3 pbc="T T T"
Nb 3.330 0.000 0.000
Nb 6.625 0.000 0.000
Nb 3.274 3.274 0.000
Nb 1.703 -1.703 1.695
Nb 0.000 3.330 0.000
Nb 0.000 6.625 0.000
Nb -1.703 1.703 1.695
Nb 1.703 1.703 1.695
In 0.000 0.000 0.000
```

Computed properties:
ΔH_f (0 K): -0.006 eV per atom
volume: 18.7 Å³/atom
total DFT energy (no corrections): -9.261 eV per atom


Record 9
NbIn: optimized geometry, PBE.

Cell and atoms, written as extended XYZ:
```
16
Lattice="10.094 0.000 0.000 0.000 10.094 0.000 0.000 0.000 3.404" Properties=species:S:1:pos:R:3 pbc="T T T"
Nb 0.000 3.473 0.000
Nb 0.000 6.621 0.000
Nb 1.574 5.047 1.702
Nb 3.473 0.000 0.000
Nb 5.047 1.574 1.702
Nb 5.047 8.521 1.702
Nb 6.621 0.000 0.000
Nb 8.521 5.047 1.702
In 1.587 1.587 1.702
In 1.587 8.507 1.702
In 3.460 3.460 0.000
In 3.460 6.634 0.000
In 6.634 3.460 0.000
In 6.634 6.634 0.000
In 8.507 1.587 1.702
In 8.507 8.507 1.702
```

Computed properties:
ΔH_f (0 K): 0.015 eV per atom
volume: 21.7 Å³/atom
total DFT energy (no corrections): -6.389 eV per atom


Record 10
NbIn3: optimized geometry, PBE.

Cell and atoms, written as extended XYZ:
```
8
Lattice="3.229 0.000 0.000 0.000 10.154 0.000 0.000 0.000 5.331" Properties=species:S:1:pos:R:3 pbc="T T T"
Nb 0.000 0.000 0.000
Nb 1.614 5.077 2.666
In 0.000 2.665 1.733
In 0.000 5.077 5.201
In 0.000 7.490 1.733
In 1.614 0.000 2.535
In 1.614 2.412 4.399
In 1.614 7.742 4.399
```

Computed properties:
ΔH_f (0 K): 0.112 eV per atom
volume: 21.8 Å³/atom
total DFT energy (no corrections): -4.459 eV per atom


Record 11
Nb3In: optimized geometry, PBE.

Cell and atoms, written as extended XYZ:
```
8
Lattice="2.837 0.000 0.000 0.000 9.903 0.000 0.000 0.000 5.443" Properties=species:S:1:pos:R:3 pbc="T T T"
Nb 0.000 0.000 0.000
Nb 0.000 2.472 3.831
Nb 0.000 7.432 3.831
Nb 1.418 2.480 1.110
Nb 1.418 4.952 2.721
Nb 1.418 7.423 1.110
In 0.000 4.952 0.019
In 1.418 0.000 2.740
```

Computed properties:
ΔH_f (0 K): 0.127 eV per atom
volume: 19.1 Å³/atom
total DFT energy (no corrections): -8.110 eV per atom


Record 12
Nb5In3: optimized geometry, PBE.

Cell and atoms, written as extended XYZ:
```
16
Lattice="4.647 -3.690 0.000 4.647 3.690 0.000 0.000 0.000 9.137" Properties=species:S:1:pos:R:3 pbc="T T T"
Nb 4.647 3.508 6.852
Nb 2.573 1.825 2.284
Nb 4.647 1.793 0.291
Nb 4.647 1.793 4.277
Nb 6.720 1.825 2.284
Nb 2.573 -1.825 6.852
Nb 4.647 -1.793 4.859
Nb 4.647 -1.793 8.845
Nb 6.720 -1.825 6.852
Nb 4.647 -3.508 2.284
In 2.195 0.000 0.000
In 2.195 0.000 4.568
In 4.647 0.397 6.852
In 4.647 -0.397 2.284
In 7.098 0.000 0.000
In 7.098 0.000 4.568
```

Computed properties:
ΔH_f (0 K): 0.074 eV per atom
volume: 19.6 Å³/atom
total DFT energy (no corrections): -7.247 eV per atom